VASP calculation (GGA-PBE) on a relaxed RbTeI2 crystal.

abc: 6.6281 6.6281 11.0971
angles: 72.62 72.62 90.00
With the nearest neighbours (Å) after each atom.
Positions (direct):
I 0.7137 0.1250 0.2500  2 Te 3.20
I 0.0363 0.6250 0.2500  2 Te 3.20
I 0.3750 0.2863 0.7500  2 Te 3.20
I 0.8750 0.9637 0.7500  2 Te 3.20
Te 0.0000 0.0000 0.0000  4 I 3.20
Te 0.7500 0.2500 0.5000  4 I 3.20
Rb 0.5000 0.5000 0.0000  4 I 3.76
Rb 0.2500 0.7500 0.5000  4 I 3.76

Summary:
space group: I-42d
formation energy from raw total energies: -1.91 eV per formula unit